Entry 1:
# CaNi2As

CaNi2As after structural relaxation (PBE, Alexandria).

Unit cell a=3.866 b=3.866 c=9.113 alpha=90.00 beta=90.00 gamma=90.00
Atoms (fractional coordinates):
Ca 0.250 0.250 0.218
Ca 0.750 0.750 0.782
Ni 0.250 0.250 0.911
Ni 0.250 0.750 0.500
Ni 0.750 0.250 0.500
Ni 0.750 0.750 0.089
As 0.250 0.250 0.654
As 0.750 0.750 0.346

Formation enthalpy at 0 K = -35.8 kJ/mol of atoms
Size of the total moment = 0.000 μB per atom
Fermi-level density of states = 5.25 states/eV per cell
DFT total energy = -4.925 eV per atom

Entry 2:
# CaNiAs2

CaNiAs2 after structural relaxation (PBE, Alexandria).

Unit cell a=6.664 b=6.664 c=6.664 alpha=90.00 beta=90.00 gamma=90.00
Atoms (fractional coordinates):
Ca 0.000 0.000 0.000
Ca 0.000 0.500 0.500
Ca 0.500 0.000 0.500
Ca 0.500 0.500 0.000
Ni 0.000 0.000 0.500
Ni 0.000 0.500 0.000
Ni 0.500 0.000 0.000
Ni 0.500 0.500 0.500
As 0.250 0.250 0.250
As 0.250 0.250 0.750
As 0.250 0.750 0.250
As 0.250 0.750 0.750
As 0.750 0.250 0.250
As 0.750 0.250 0.750
As 0.750 0.750 0.250
As 0.750 0.750 0.750

Formation enthalpy at 0 K = -17.9 kJ/mol of atoms
Size of the total moment = 0.000 μB per atom
Fermi-level density of states = 14.04 states/eV per cell
DFT total energy = -4.456 eV per atom

Entry 3:
# Ca2NiAs

Ca2NiAs after structural relaxation (PBE, Alexandria).

Unit cell a=7.673 b=7.673 c=6.396 alpha=90.00 beta=90.00 gamma=90.00
Atoms (fractional coordinates):
Ca 0.233 0.750 0.125
Ca 0.250 0.233 0.875
Ca 0.250 0.267 0.375
Ca 0.267 0.750 0.625
Ca 0.733 0.250 0.625
Ca 0.750 0.733 0.375
Ca 0.750 0.767 0.875
Ca 0.767 0.250 0.125
Ni 0.000 0.000 0.000
Ni 0.000 0.500 0.250
Ni 0.500 0.000 0.750
Ni 0.500 0.500 0.500
As 0.000 0.000 0.500
As 0.000 0.500 0.750
As 0.500 0.000 0.250
As 0.500 0.500 0.000

Formation enthalpy at 0 K = -19.6 kJ/mol of atoms
Size of the total moment = 0.000 μB per atom
Fermi-level density of states = 8.10 states/eV per cell
DFT total energy = -3.812 eV per atom

Entry 4:
# CaNi2As

CaNi2As after structural relaxation (PBE, Alexandria).

Unit cell a=3.393 b=4.474 c=8.583 alpha=90.00 beta=90.00 gamma=90.00
Atoms (fractional coordinates):
Ca 0.000 0.000 0.000
Ca 0.500 0.500 0.500
Ni 0.000 0.000 0.532
Ni 0.000 0.500 0.785
Ni 0.500 0.000 0.285
Ni 0.500 0.500 0.032
As 0.000 0.500 0.225
As 0.500 0.000 0.725

Formation enthalpy at 0 K = -14.9 kJ/mol of atoms
Size of the total moment = 0.000 μB per atom
Fermi-level density of states = 3.87 states/eV per cell
DFT total energy = -4.708 eV per atom

Entry 5:
# CaNi2As

CaNi2As after structural relaxation (PBE, Alexandria).

Unit cell a=4.132 b=4.132 c=3.677 alpha=90.00 beta=90.00 gamma=90.00
Atoms (fractional coordinates):
Ca 0.000 0.000 0.000
Ni 0.000 0.500 0.500
Ni 0.500 0.000 0.500
As 0.500 0.500 0.000

Formation enthalpy at 0 K = -11.3 kJ/mol of atoms
Size of the total moment = 0.000 μB per atom
Fermi-level density of states = 4.90 states/eV per cell
DFT total energy = -4.670 eV per atom

Entry 6:
# CaNiAs2

CaNiAs2 after structural relaxation (PBE, Alexandria).

Unit cell a=3.888 b=3.888 c=17.966 alpha=90.00 beta=90.00 gamma=120.00
Atoms (fractional coordinates):
Ca 0.000 0.000 0.000
Ca 0.333 0.667 0.667
Ca 0.667 0.333 0.333
Ni 0.000 0.000 0.178
Ni 0.333 0.667 0.844
Ni 0.667 0.333 0.511
As 0.000 0.000 0.563
As 0.000 0.000 0.785
As 0.333 0.667 0.230
As 0.333 0.667 0.451
As 0.667 0.333 0.118
As 0.667 0.333 0.897

Formation enthalpy at 0 K = -53.7 kJ/mol of atoms
Size of the total moment = 0.000 μB per atom
Fermi-level density of states = 5.54 states/eV per cell
DFT total energy = -4.828 eV per atom

Entry 7:
# CaNiAs2

CaNiAs2 after structural relaxation (PBE, Alexandria).

Unit cell a=6.704 b=3.885 c=6.338 alpha=90.00 beta=110.84 gamma=90.00
Atoms (fractional coordinates):
Ca 0.000 0.000 0.000
Ca 0.500 0.500 0.000
Ni 0.000 0.500 0.500
Ni 0.500 0.000 0.500
As 0.224 0.000 0.672
As 0.276 0.500 0.328
As 0.724 0.500 0.672
As 0.776 0.000 0.328

Formation enthalpy at 0 K = -54.4 kJ/mol of atoms
Size of the total moment = 0.000 μB per atom
Fermi-level density of states = 2.32 states/eV per cell
DFT total energy = -4.834 eV per atom

Entry 8:
# CaNiAs2

CaNiAs2 after structural relaxation (PBE, Alexandria).

Unit cell a=4.355 b=4.336 c=4.540 alpha=90.00 beta=91.04 gamma=90.00
Atoms (fractional coordinates):
Ca 0.000 0.000 0.000
Ni 0.575 0.500 0.324
As 0.068 0.500 0.503
As 0.495 0.000 0.507

Formation enthalpy at 0 K = -48.4 kJ/mol of atoms
Size of the total moment = 0.000 μB per atom
Fermi-level density of states = 1.01 states/eV per cell
DFT total energy = -4.772 eV per atom

Entry 9:
# Ca3Ni2As4

Ca3Ni2As4 after structural relaxation (PBE, Alexandria).

Unit cell a=5.861 b=5.861 c=8.113 alpha=98.03 beta=98.03 gamma=42.50
Atoms (fractional coordinates):
Ca 0.000 0.000 0.000
Ca 0.341 0.341 0.337
Ca 0.659 0.659 0.663
Ni 0.392 0.392 0.715
Ni 0.608 0.608 0.285
As 0.065 0.065 0.377
As 0.282 0.282 0.932
As 0.718 0.718 0.068
As 0.935 0.935 0.623

Formation enthalpy at 0 K = -76.8 kJ/mol of atoms
Size of the total moment = 0.000 μB per atom
Fermi-level density of states = 4.40 states/eV per cell
DFT total energy = -4.814 eV per atom

Entry 10:
# Ca2Ni5As3

Ca2Ni5As3 after structural relaxation (PBE, Alexandria).

Unit cell a=12.809 b=12.809 c=6.589 alpha=90.00 beta=90.00 gamma=162.04
Atoms (fractional coordinates):
Ca 0.023 0.977 0.500
Ca 0.325 0.675 0.482
Ca 0.675 0.325 0.982
Ca 0.977 0.023 0.000
Ni 0.085 0.915 0.933
Ni 0.206 0.794 0.370
Ni 0.239 0.761 0.742
Ni 0.370 0.630 0.984
Ni 0.427 0.573 0.663
Ni 0.573 0.427 0.163
Ni 0.630 0.370 0.484
Ni 0.761 0.239 0.242
Ni 0.794 0.206 0.870
Ni 0.915 0.085 0.433
As 0.118 0.882 0.264
As 0.277 0.723 0.066
As 0.436 0.564 0.284
As 0.564 0.436 0.784
As 0.723 0.277 0.566
As 0.882 0.118 0.764

Formation enthalpy at 0 K = -47.5 kJ/mol of atoms
Size of the total moment = 0.000 μB per atom
Fermi-level density of states = 13.19 states/eV per cell
DFT total energy = -5.178 eV per atom

Entry 11:
# Ca2NiAs

Ca2NiAs after structural relaxation (PBE, Alexandria).

Unit cell a=3.372 b=3.851 c=6.738 alpha=90.00 beta=90.00 gamma=90.00
Atoms (fractional coordinates):
Ca 0.000 0.000 0.250
Ca 0.000 0.000 0.750
Ni 0.500 0.500 0.000
As 0.500 0.500 0.500

Formation enthalpy at 0 K = -40.4 kJ/mol of atoms
Size of the total moment = 0.000 μB per atom
Fermi-level density of states = 2.20 states/eV per cell
DFT total energy = -4.027 eV per atom

Entry 12:
# CaNiAs2

CaNiAs2 after structural relaxation (PBE, Alexandria).

Unit cell a=4.308 b=4.308 c=3.935 alpha=90.00 beta=90.00 gamma=90.00
Atoms (fractional coordinates):
Ca 0.000 0.000 0.000
Ni 0.500 0.500 0.000
As 0.000 0.500 0.500
As 0.500 0.000 0.500

Formation enthalpy at 0 K = -23.2 kJ/mol of atoms
Size of the total moment = 0.001 μB per atom
Fermi-level density of states = 3.78 states/eV per cell
DFT total energy = -4.511 eV per atom